An optimized crystal structure of K2GeC. Source: Alexandria, functional GGA-PBEsol.

Calculated values
V: 273.0 Å³ per cell
energy relative to the elements: 695 meV/atom
DFT total energy: -3.518 eV per atom

a = 8.6047 Å, b = 8.6047 Å, c = 8.6047 Å
α = 92.92°, β = 92.92°, γ = 153.91°
With the nearest neighbours (Å) after each atom.
Positions (direct):
K: 0.3750 0.1451 0.2701  2 C 3.01, 2 Ge 3.31
K: 0.8549 0.1250 0.2299  2 C 3.01, 2 Ge 3.31
K: 0.8750 0.1049 0.7299  2 C 3.01, 2 Ge 3.31
K: 0.8951 0.6250 0.7701  2 C 3.01, 2 Ge 3.31
Ge: 0.2500 0.7500 0.5000  2 C 1.94
Ge: 0.5000 0.5000 0.0000  2 C 1.94
C: 0.0000 0.0000 0.0000  2 Ge 1.94
C: 0.7500 0.2500 0.5000  2 Ge 1.94

---

An optimized crystal structure of K3GePCO7. Source: Alexandria, functional GGA-PBEsol.

Calculated values
V: 410.1 Å³ per cell
DFT total energy: -6.540 eV per atom

a = 6.0923 Å, b = 7.0046 Å, c = 9.6605 Å
α = 90.00°, β = 95.88°, γ = 90.00°
With the nearest neighbours (Å) after each atom.
Positions (direct):
K: 0.1984 0.0035 0.2249  5 O 2.52-2.81
K: 0.1984 0.4965 0.2249  5 O 2.52-2.81
K: 0.2960 0.2500 0.5795  4 O 2.67-2.74
K: 0.7040 0.7500 0.4205  4 O 2.67-2.74
K: 0.8016 0.5035 0.7751  5 O 2.52-2.81
K: 0.8016 0.9965 0.7751  5 O 2.52-2.81
Ge: 0.3184 0.7500 0.8608  2 O 1.91-2.00
Ge: 0.6816 0.2500 0.1392  2 O 1.91-2.00
P: 0.2891 0.2500 0.9041  4 O 1.52-1.59
P: 0.7109 0.7500 0.0959  4 O 1.52-1.59
C: 0.2359 0.7500 0.5752  3 O 1.28-1.34
C: 0.7641 0.2500 0.4248  3 O 1.28-1.34
O: 0.0392 0.2500 0.8998  1 P 1.52
O: 0.0436 0.7500 0.6186  1 C 1.28
O: 0.2681 0.7500 0.4464  1 C 1.28
O: 0.3780 0.0719 0.8315  1 P 1.56
O: 0.3780 0.4281 0.8315  1 P 1.56
O: 0.3790 0.2500 0.0649  1 P 1.59
O: 0.4142 0.7500 0.6690  1 C 1.34
O: 0.5858 0.2500 0.3310  1 C 1.34
O: 0.6210 0.7500 0.9351  1 P 1.59
O: 0.6220 0.5719 0.1685  1 P 1.56
O: 0.6220 0.9281 0.1685  1 P 1.56
O: 0.7319 0.2500 0.5536  1 C 1.28
O: 0.9564 0.2500 0.3814  1 C 1.28
O: 0.9608 0.7500 0.1002  1 P 1.52

---

An optimized crystal structure of KSi2GeC. Source: Alexandria, functional GGA-PBEsol.

Calculated values
V: 141.3 Å³ per cell
DFT total energy: -3.545 eV per atom

a = 4.7142 Å, b = 4.7142 Å, c = 6.3580 Å
α = 90.00°, β = 90.00°, γ = 90.00°
With the nearest neighbours (Å) after each atom.
Positions (direct):
K: 0.0000 0.0000 0.0000  2 Ge 3.18, 4 C 3.33
Si: 0.0000 0.5000 0.5000  2 Ge 2.36
Si: 0.5000 0.0000 0.5000  2 Ge 2.36
Ge: 0.0000 0.0000 0.5000  4 Si 2.36
C: 0.5000 0.5000 0.0000  4 K 3.33

---

An optimized crystal structure of LaGeC2. Source: Alexandria, functional GGA-PBEsol.

Calculated values
V: 119.2 Å³ per cell
energy relative to the elements: 457 meV/atom
DFT total energy: -6.936 eV per atom

a = 5.3905 Å, b = 5.3905 Å, c = 5.3905 Å
α = 113.11°, β = 113.11°, γ = 102.41°
With the nearest neighbours (Å) after each atom.
Positions (direct):
La: 0.0000 0.0000 0.0000  4 C 2.60
La: 0.7500 0.2500 0.5000  4 C 2.60
Ge: 0.2500 0.7500 0.5000  4 C 1.98
Ge: 0.5000 0.5000 0.0000  4 C 1.98
C: 0.2058 0.6250 0.0808  2 Ge 1.98
C: 0.3750 0.4558 0.5808  2 Ge 1.98
C: 0.5442 0.1250 0.9192  2 Ge 1.98
C: 0.8750 0.7942 0.4192  2 Ge 1.98

---

An optimized crystal structure of LaGe2CSe. Source: Alexandria, functional GGA-PBEsol.

Calculated values
V: 98.1 Å³ per cell
DFT total energy: -5.798 eV per atom

a = 4.2454 Å, b = 4.2454 Å, c = 5.4452 Å
α = 90.00°, β = 90.00°, γ = 90.00°
With the nearest neighbours (Å) after each atom.
Positions (direct):
La: 0.0000 0.0000 0.0000  2 C 2.72, 4 Se 3.00
Ge: 0.0000 0.5000 0.5000  2 C 2.12
Ge: 0.5000 0.0000 0.5000  2 C 2.12
C: 0.0000 0.0000 0.5000  4 Ge 2.12
Se: 0.5000 0.5000 0.0000  4 La 3.00

---

An optimized crystal structure of Li3GeC. Source: Alexandria, functional GGA-PBEsol.

Calculated values
V: 106.5 Å³ per cell
energy relative to the elements: 1369 meV/atom
DFT total energy: -2.728 eV per atom

a = 4.7397 Å, b = 4.7397 Å, c = 4.7397 Å
α = 90.00°, β = 90.00°, γ = 90.00°
With the nearest neighbours (Å) after each atom.
Positions (direct):
Li: 0.0000 0.0000 0.5000  2 Ge 2.37
Li: 0.0000 0.5000 0.0000  2 Ge 2.37
Li: 0.5000 0.0000 0.0000  2 Ge 2.37
Ge: 0.0000 0.0000 0.0000  6 Li 2.37
C: 0.5000 0.5000 0.5000  12 Li 3.35

---

An optimized crystal structure of Lu5Ge3C. Source: Alexandria, functional GGA-PBEsol.

Calculated values
V: 359.3 Å³ per cell
energy relative to the elements: -805 meV/atom
DFT total energy: -6.230 eV per atom

a = 8.2022 Å, b = 8.2022 Å, c = 6.1672 Å
α = 90.00°, β = 90.00°, γ = 120.00°
With the nearest neighbours (Å) after each atom.
Positions (direct):
Lu: 0.0000 0.2212 0.2500  2 C 2.38
Lu: 0.0000 0.7788 0.7500  2 C 2.38
Lu: 0.2212 0.0000 0.2500  2 C 2.38
Lu: 0.2212 0.2212 0.7500  2 C 2.38
Lu: 0.3333 0.6667 0.0000  6 Ge 2.92, 2 Lu 3.08
Lu: 0.3333 0.6667 0.5000  6 Ge 2.92, 2 Lu 3.08
Lu: 0.6667 0.3333 0.0000  6 Ge 2.92, 2 Lu 3.08
Lu: 0.6667 0.3333 0.5000  6 Ge 2.92, 2 Lu 3.08
Lu: 0.7788 0.0000 0.7500  2 C 2.38
Lu: 0.7788 0.7788 0.2500  2 C 2.38
Ge: 0.0000 0.4081 0.7500  7 Lu 2.90-3.04
Ge: 0.0000 0.5919 0.2500  7 Lu 2.90-3.04
Ge: 0.4081 0.0000 0.7500  7 Lu 2.90-3.04
Ge: 0.4081 0.4081 0.2500  7 Lu 2.90-3.04
Ge: 0.5919 0.0000 0.2500  7 Lu 2.90-3.04
Ge: 0.5919 0.5919 0.7500  7 Lu 2.90-3.04
C: 0.0000 0.0000 0.0000  6 Lu 2.38
C: 0.0000 0.0000 0.5000  6 Lu 2.38

---

An optimized crystal structure of MgGe3C. Source: Alexandria, functional GGA-PBEsol.

Calculated values
V: 115.1 Å³ per cell
energy relative to the elements: 2055 meV/atom
DFT total energy: -3.180 eV per atom

a = 4.8644 Å, b = 4.8644 Å, c = 4.8644 Å
α = 90.00°, β = 90.00°, γ = 90.00°
With the nearest neighbours (Å) after each atom.
Positions (direct):
Mg: 0.0000 0.0000 0.0000  6 Ge 2.43
Ge: 0.0000 0.0000 0.5000  2 Mg 2.43
Ge: 0.0000 0.5000 0.0000  2 Mg 2.43
Ge: 0.5000 0.0000 0.0000  2 Mg 2.43
C: 0.5000 0.5000 0.5000  12 Ge 3.44

---

Question: The lowest DFT total energy belongs to which entry?
Answer: LaGeC2

---

Question: Which of these has the highest DFT total energy?
Answer: Li3GeC

---

Question: Which value of DFT total energy does entry 1 give?
Answer: -3.518 eV per atom